(1)
DFT (PBE-GGA) results for crystalline HoTePO at its relaxed geometry.

Cell: 3.669 6.993 7.663 Å, 90.00 90.00 90.00°
Fractional coordinates of all 8 atoms:
P 0.000 0.934 0.305
P 0.000 0.066 0.805
Ho 0.000 0.283 0.488
Ho 0.000 0.717 0.988
Te 0.500 0.860 0.535
Te 0.500 0.140 0.035
O 0.500 0.401 0.425
O 0.500 0.599 0.925

Values from the calculation:
**Crystal system**: orthorhombic
**Energy relative to the lowest polymorph listed for this composition**: 0.5 kJ/mol of atoms
**Mass density**: 5.734 g cm⁻³
**Space group**: Pmc2_1



(2)
DFT (PBE-GGA) results for crystalline Ta4Sn5Pt5 at its relaxed geometry.

Cell: 6.267 7.647 7.647 Å, 80.33 114.19 114.19°
Fractional coordinates of all 14 atoms:
Sn 0.500 0.000 0.000
Sn 0.289 0.192 0.366
Sn 0.077 0.366 0.808
Sn 0.903 0.634 0.192
Sn 0.731 0.808 0.634
Ta 0.596 0.400 0.798
Ta 0.804 0.202 0.400
Ta 0.398 0.600 0.202
Ta 0.202 0.798 0.600
Pt 0.750 0.500 0.500
Pt 0.940 0.324 0.108
Pt 0.509 0.676 0.892
Pt 0.167 0.108 0.676
Pt 0.383 0.892 0.324

Values from the calculation:
**Crystal system**: tetragonal
**Mass density**: 12.485 g cm⁻³
**Space group**: I-4
**E**: -7.472 eV/atom



(3)
DFT (PBE-GGA) results for crystalline SrInCuSe3 at its relaxed geometry.

Cell: 8.472 4.113 8.875 Å, 90.00 103.41 90.00°
Fractional coordinates of all 12 atoms:
Se 0.564 0.250 0.339
Se 0.436 0.750 0.661
Se 0.106 0.250 0.364
Se 0.769 0.250 0.969
Se 0.894 0.750 0.636
Se 0.231 0.750 0.031
Cu 0.065 0.250 0.075
Cu 0.935 0.750 0.925
In 0.331 0.750 0.348
In 0.669 0.250 0.652
Sr 0.184 0.250 0.748
Sr 0.816 0.750 0.252

Values from the calculation:
**Crystal system**: monoclinic
**Mass density**: 5.552 g cm⁻³
**Space group**: P2_1/m
**E**: -4.017 eV/atom



(4)
DFT (PBE-GGA) results for crystalline Zn3P2H2O9 at its relaxed geometry.

Cell: 8.670 4.860 16.582 Å, 90.00 94.81 90.00°
Fractional coordinates of all 64 atoms:
O 0.780 0.684 0.467
O 0.756 0.240 0.217
O 0.530 0.263 0.577
O 0.312 0.848 0.640
O 0.859 0.104 0.550
O 0.220 0.184 0.033
O 0.592 0.824 0.257
O 0.115 0.154 0.712
O 0.965 0.648 0.596
O 0.470 0.763 0.923
O 0.141 0.896 0.450
O 0.756 0.260 0.717
O 0.530 0.237 0.077
O 0.470 0.737 0.423
O 0.318 0.260 0.395
O 0.592 0.676 0.757
O 0.859 0.396 0.050
O 0.312 0.652 0.140
O 0.682 0.760 0.105
O 0.408 0.176 0.743
O 0.780 0.816 0.967
O 0.682 0.740 0.605
O 0.408 0.324 0.243
O 0.965 0.852 0.096
O 0.885 0.846 0.288
O 0.688 0.152 0.360
O 0.244 0.760 0.783
O 0.035 0.352 0.404
O 0.244 0.740 0.283
O 0.035 0.148 0.904
O 0.220 0.316 0.533
O 0.885 0.654 0.788
O 0.318 0.240 0.895
O 0.688 0.348 0.860
O 0.115 0.346 0.212
O 0.141 0.604 0.950
Zn 0.177 0.701 0.556
Zn 0.823 0.201 0.944
Zn 0.823 0.299 0.444
Zn 0.936 0.199 0.155
Zn 0.064 0.699 0.345
Zn 0.423 0.995 0.323
Zn 0.064 0.801 0.845
Zn 0.423 0.505 0.823
Zn 0.936 0.301 0.655
Zn 0.577 0.005 0.677
Zn 0.577 0.495 0.177
Zn 0.177 0.799 0.056
P 0.734 0.492 0.782
P 0.184 0.292 0.946
P 0.184 0.208 0.446
P 0.266 0.992 0.718
P 0.734 0.008 0.282
P 0.816 0.792 0.554
P 0.816 0.708 0.054
P 0.266 0.508 0.218
H 0.428 0.550 0.412
H 0.572 0.450 0.588
H 0.417 0.219 0.062
H 0.428 0.950 0.912
H 0.583 0.781 0.938
H 0.583 0.719 0.438
H 0.417 0.281 0.562
H 0.572 0.050 0.088

Values from the calculation:
**Crystal system**: monoclinic
**Mass density**: 3.856 g cm⁻³
**Space group**: P2_1/c
**E**: -5.881 eV/atom



Question: Number 3 is which compound?
Answer: SrInCuSe3



Question: Which formula does entry 3 have?
Answer: SrInCuSe3